Compound: LuPuRuPt
Source: Alexandria via LeMat-Bulk
Functional: PBE-GGA
Structure: relaxed

Output
space-group type = F-43m (216)
total moment = 4.52 μB/f.u.
ΔH_f (0 K) = -0.617 eV per atom
crystal system = cubic

Geometry as POSCAR:
```
LuPuRuPt
1.0
0.0000 3.4096 3.4096
3.4096 0.0000 3.4096
3.4096 3.4096 0.0000
Lu Pu Ru Pt
1 1 1 1
direct
0.0000 0.0000 0.0000
0.5000 0.5000 0.5000
0.2500 0.2500 0.2500
0.7500 0.7500 0.7500
```

=====

Compound: CsSr2CaPt
Source: Alexandria via LeMat-Bulk
Functional: PBE-GGA
Structure: relaxed

Output
space-group type = P4/mmm (123)
total moment = 0.00 μB/f.u.
ΔH_f (0 K) = -0.331 eV per atom
crystal system = tetragonal

Geometry as POSCAR:
```
CsSr2CaPt
1.0
6.1685 0.0000 0.0000
0.0000 6.1685 0.0000
0.0000 0.0000 5.9135
Cs Sr Ca Pt
1 2 1 1
direct
0.0000 0.0000 0.0000
0.0000 0.5000 0.5000
0.5000 0.0000 0.5000
0.5000 0.5000 0.0000
0.5000 0.5000 0.5000
```

=====

Compound: TmGa4Cu2Rh
Source: Alexandria via LeMat-Bulk
Functional: PBE-GGA
Structure: relaxed

Output
space-group type = R-3m (166)
total moment = 0.00 μB/f.u.
ΔH_f (0 K) = -0.382 eV per atom
crystal system = trigonal

Geometry as POSCAR:
```
TmGa4Cu2Rh
1.0
2.0790 1.2003 8.7754
-2.0790 1.2003 8.7754
0.0000 -2.4006 8.7754
Tm Ga Cu Rh
1 4 2 1
direct
0.0000 0.0000 0.0000
0.1278 0.1278 0.1278
0.3992 0.3992 0.3992
0.6008 0.6008 0.6008
0.8722 0.8722 0.8722
0.2399 0.2399 0.2399
0.7601 0.7601 0.7601
0.5000 0.5000 0.5000
```

=====

Compound: TmTaSi2Os
Source: Alexandria via LeMat-Bulk
Functional: PBE-GGA
Structure: relaxed

Output
space-group type = I-4m2 (119)
total moment = 0.00 μB/f.u.
raw total energy = -8.275 eV/atom
crystal system = tetragonal

Geometry as POSCAR:
```
TmTaSi2Os
1.0
-1.9976 1.9976 5.4619
1.9976 -1.9976 5.4619
1.9976 1.9976 -5.4619
Tm Ta Si Os
1 1 2 1
direct
0.0000 0.0000 0.0000
0.7500 0.2500 0.5000
0.3925 0.3925 0.0000
0.6075 0.6075 0.0000
0.2500 0.7500 0.5000
```

=====

Compound: TlCuBiBr6
Source: Alexandria via LeMat-Bulk
Functional: PBE-GGA
Structure: relaxed

Output
space-group type = P1 (1)
total moment = 1.05 μB/f.u.
raw total energy = -2.858 eV/atom
crystal system = triclinic

Geometry as POSCAR:
```
TlCuBiBr6
1.0
7.0973 0.0000 0.0000
-3.0517 6.4092 0.0000
-0.4225 -0.6532 7.3013
Tl Cu Bi Br
1 1 1 6
direct
0.0000 0.0000 0.0000
0.6711 0.3342 0.4984
0.3239 0.6781 0.5004
0.3655 0.9997 0.7592
0.4029 0.3550 0.2828
0.6374 0.0140 0.3177
0.6472 0.5979 0.7166
0.9881 0.3625 0.6816
0.9983 0.6346 0.2434
```

=====

Compound: Rb2Sr3Br8
Source: Alexandria via LeMat-Bulk
Functional: PBE-GGA
Structure: relaxed

Output
space-group type = C2/m (12)
total moment = 0.00 μB/f.u.
raw total energy = -3.587 eV/atom
crystal system = monoclinic

Geometry as POSCAR:
```
Rb2Sr3Br8
1.0
8.3751 -4.6268 0.0000
8.3751 4.6268 0.0000
-2.6358 0.0000 7.4312
Rb Sr Br
2 3 8
direct
0.2278 0.2278 0.1579
0.7722 0.7722 0.8421
0.2418 0.7582 0.5000
0.5000 0.5000 0.0000
0.7582 0.2418 0.5000
0.1120 0.1120 0.4476
0.1662 0.6145 0.1043
0.3855 0.8338 0.8957
0.3977 0.3977 0.5908
0.6023 0.6023 0.4092
0.6145 0.1662 0.1043
0.8338 0.3855 0.8957
0.8880 0.8880 0.5524
```

=====

Compound: LaAs3
Source: Alexandria via LeMat-Bulk
Functional: PBE-GGA
Structure: relaxed

Output
space-group type = I4/mmm (139)
total moment = 0.00 μB/f.u.
ΔH_f (0 K) = -0.639 eV per atom
crystal system = tetragonal

Geometry as POSCAR:
```
LaAs3
1.0
-2.1432 2.1432 9.9826
2.1432 -2.1432 9.9826
2.1432 2.1432 -9.9826
La As
2 6
direct
0.1308 0.1308 0.0000
0.8692 0.8692 0.0000
0.0000 0.5000 0.5000
0.2500 0.7500 0.5000
0.4026 0.4026 0.0000
0.5000 0.0000 0.5000
0.5974 0.5974 0.0000
0.7500 0.2500 0.5000
```

=====

Compound: ZrS2Cl
Source: Alexandria via LeMat-Bulk
Functional: PBE-GGA
Structure: relaxed

Output
space-group type = R-3m (166)
total moment = 0.00 μB/f.u.
E above lowest polymorph = 0.2763 eV per atom
crystal system = trigonal

Geometry as POSCAR:
```
ZrS2Cl
1.0
1.8420 1.0635 7.7800
-1.8420 1.0635 7.7800
0.0000 -2.1270 7.7800
Zr S Cl
1 2 1
direct
0.0000 0.0000 0.0000
0.3963 0.3963 0.3963
0.6037 0.6037 0.6037
0.5000 0.5000 0.5000
```

=====

Compound: Ac2LaErS4
Source: Alexandria via LeMat-Bulk
Functional: PBE-GGA
Structure: relaxed

Output
space-group type = P2/m (10)
total moment = 0.00 μB/f.u.
raw total energy = -6.289 eV/atom
crystal system = monoclinic

Geometry as POSCAR:
```
Ac2LaErS4
1.0
7.1808 0.0000 0.0000
0.0000 4.0977 0.0000
-2.3436 0.0000 6.9243
Ac La Er S
2 1 1 4
direct
0.0000 0.0000 0.0000
0.5000 0.5000 0.0000
0.0000 0.5000 0.5000
0.5000 0.0000 0.5000
0.2556 0.0000 0.7299
0.2715 0.5000 0.2781
0.7285 0.5000 0.7219
0.7444 0.0000 0.2701
```

=====

Compound: Tb2Co2Ir
Source: Alexandria via LeMat-Bulk
Functional: PBE-GGA
Structure: relaxed

Output
space-group type = P4/mbm (127)
total moment = 1.25 μB/f.u.
ΔH_f (0 K) = -0.302 eV per atom
crystal system = tetragonal

Geometry as POSCAR:
```
Tb2Co2Ir
1.0
6.6355 0.0000 0.0000
0.0000 6.6355 0.0000
0.0000 0.0000 4.0922
Tb Co Ir
4 4 2
direct
0.1860 0.3140 0.0000
0.3140 0.8140 0.0000
0.6860 0.1860 0.0000
0.8140 0.6860 0.0000
0.1187 0.6187 0.5000
0.3813 0.1187 0.5000
0.6187 0.8813 0.5000
0.8813 0.3813 0.5000
0.0000 0.0000 0.5000
0.5000 0.5000 0.5000
```

=====

Compound: AgRu2Au
Source: Alexandria via LeMat-Bulk
Functional: PBE-GGA
Structure: relaxed

Output
space-group type = C2/m (12)
total moment = 1.84 μB/f.u.
ΔH_f (0 K) = 0.513 eV per atom
E above lowest polymorph = 0.2997 eV per atom
crystal system = monoclinic

Geometry as POSCAR:
```
AgRu2Au
1.0
4.7994 -1.3853 0.0000
4.7994 1.3853 0.0000
-0.7986 0.0000 4.7767
Ag Ru Au
1 2 1
direct
0.0000 0.0000 0.0000
0.2469 0.2469 0.7492
0.7531 0.7531 0.2508
0.5000 0.5000 0.5000
```

=====

Compound: La6YHo2
Source: Alexandria via LeMat-Bulk
Functional: PBE-GGA
Structure: relaxed

Output
space-group type = Cmmm (65)
total moment = 0.00 μB/f.u.
ΔH_f (0 K) = 0.116 eV per atom
E above lowest polymorph = 0.0607 eV per atom
crystal system = orthorhombic

Geometry as POSCAR:
```
La6YHo2
1.0
4.7476 -8.9457 0.0000
4.7476 8.9457 0.0000
0.0000 0.0000 3.7041
La Y Ho
6 1 2
direct
0.0064 0.3381 0.0000
0.1761 0.1761 0.5000
0.3381 0.0064 0.0000
0.6619 0.9936 0.0000
0.8239 0.8239 0.5000
0.9936 0.6619 0.0000
0.5000 0.5000 0.0000
0.3269 0.6731 0.5000
0.6731 0.3269 0.5000
```

=====

Compound: RePIrPt2
Source: Alexandria via LeMat-Bulk
Functional: PBE-GGA
Structure: relaxed

Output
space-group type = P4/mmm (123)
total moment = 0.00 μB/f.u.
ΔH_f (0 K) = 1.491 eV per atom
crystal system = tetragonal

Geometry as POSCAR:
```
RePIrPt2
1.0
4.8317 0.0000 0.0000
0.0000 4.8317 0.0000
0.0000 0.0000 4.3901
Re P Ir Pt
1 1 1 2
direct
0.0000 0.0000 0.0000
0.0000 0.0000 0.5000
0.5000 0.5000 0.5000
0.0000 0.5000 0.0000
0.5000 0.0000 0.0000
```

=====

Compound: CdMo4Au
Source: Alexandria via LeMat-Bulk
Functional: PBE-GGA
Structure: relaxed

Output
space-group type = F-43m (216)
total moment = 0.00 μB/f.u.
ΔH_f (0 K) = 0.485 eV per atom
crystal system = cubic

Geometry as POSCAR:
```
CdMo4Au
1.0
0.0000 3.7464 3.7464
3.7464 0.0000 3.7464
3.7464 3.7464 0.0000
Cd Mo Au
1 4 1
direct
0.0000 0.0000 0.0000
0.1257 0.6248 0.6248
0.6248 0.1257 0.6248
0.6248 0.6248 0.1257
0.6248 0.6248 0.6248
0.2500 0.2500 0.2500
```

=====

Compound: PmLuAlIn
Source: Alexandria via LeMat-Bulk
Functional: PBE-GGA
Structure: relaxed

Output
space-group type = F-43m (216)
total moment = 0.00 μB/f.u.
ΔH_f (0 K) = -0.386 eV per atom
crystal system = cubic

Geometry as POSCAR:
```
PmLuAlIn
1.0
0.0000 3.7030 3.7030
3.7030 0.0000 3.7030
3.7030 3.7030 0.0000
Pm Lu Al In
1 1 1 1
direct
0.0000 0.0000 0.0000
0.5000 0.5000 0.5000
0.7500 0.7500 0.7500
0.2500 0.2500 0.2500
```

=====

Compound: CeCoTe2
Source: Alexandria via LeMat-Bulk
Functional: PBE-GGA
Structure: relaxed

Output
space-group type = R-3m (166)
total moment = 1.63 μB/f.u.
raw total energy = -4.927 eV/atom
crystal system = trigonal

Geometry as POSCAR:
```
CeCoTe2
1.0
1.8115 1.0458 9.3295
-1.8115 1.0458 9.3295
0.0000 -2.0917 9.3295
Ce Co Te
1 1 2
direct
0.0000 0.0000 0.0000
0.5000 0.5000 0.5000
0.1146 0.1146 0.1146
0.8854 0.8854 0.8854
```

=====

Compound: Y2PuScS6
Source: Alexandria via LeMat-Bulk
Functional: PBE-GGA
Structure: relaxed

Output
space-group type = R3 (146)
total moment = 5.00 μB/f.u.
raw total energy = -7.703 eV/atom
crystal system = trigonal

Geometry as POSCAR:
```
Y2PuScS6
1.0
3.4139 1.9710 6.1416
-3.4139 1.9710 6.1416
0.0000 -3.9420 6.1416
Y Pu Sc S
2 1 1 6
direct
0.0000 0.0000 0.0000
0.4972 0.4972 0.4972
0.1993 0.1993 0.1993
0.6957 0.6957 0.6957
0.0788 0.4188 0.7994
0.3110 0.8971 0.5999
0.4188 0.7994 0.0788
0.5999 0.3110 0.8971
0.7994 0.0788 0.4188
0.8971 0.5999 0.3110
```

=====

Compound: Ac2AlNi4Ge3
Source: Alexandria via LeMat-Bulk
Functional: PBE-GGA
Structure: relaxed

Output
space-group type = P-4m2 (115)
total moment = 0.00 μB/f.u.
ΔH_f (0 K) = -0.610 eV per atom
crystal system = tetragonal

Geometry as POSCAR:
```
Ac2AlNi4Ge3
1.0
4.2707 0.0000 0.0000
0.0000 4.2707 0.0000
0.0000 0.0000 10.0819
Ac Al Ni Ge
2 1 4 3
direct
0.0000 0.5000 0.2452
0.5000 0.0000 0.7548
0.0000 0.0000 0.5000
0.0000 0.0000 0.0000
0.0000 0.5000 0.6287
0.5000 0.0000 0.3713
0.5000 0.5000 0.0000
0.0000 0.5000 0.8802
0.5000 0.0000 0.1198
0.5000 0.5000 0.5000
```

=====

Compound: PuSc2Bi
Source: Alexandria via LeMat-Bulk
Functional: PBE-GGA
Structure: relaxed

Output
space-group type = P4/mmm (123)
total moment = 7.23 μB/f.u.
ΔH_f (0 K) = -0.247 eV per atom
E above lowest polymorph = 0.0000 eV per atom
crystal system = tetragonal

Geometry as POSCAR:
```
PuSc2Bi
1.0
4.7429 0.0000 0.0000
0.0000 4.7429 0.0000
0.0000 0.0000 4.4356
Pu Sc Bi
1 2 1
direct
0.0000 0.0000 0.0000
0.0000 0.5000 0.5000
0.5000 0.0000 0.5000
0.5000 0.5000 0.0000
```

=====

Compound: MnNbNiBr2
Source: Alexandria via LeMat-Bulk
Functional: PBE-GGA
Structure: relaxed

Output
space-group type = P4/mmm (123)
total moment = 5.37 μB/f.u.
raw total energy = -4.956 eV/atom
crystal system = tetragonal

Geometry as POSCAR:
```
MnNbNiBr2
1.0
5.1096 0.0000 0.0000
0.0000 5.1096 0.0000
0.0000 0.0000 4.7874
Mn Nb Ni Br
1 1 1 2
direct
0.0000 0.0000 0.0000
0.5000 0.5000 0.5000
0.5000 0.5000 0.0000
0.0000 0.5000 0.5000
0.5000 0.0000 0.5000
```

=====

Compound: CdCu2Br
Source: Alexandria via LeMat-Bulk
Functional: PBE-GGA
Structure: relaxed

Output
space-group type = R-3m (166)
total moment = 0.00 μB/f.u.
E above lowest polymorph = 0.1582 eV per atom
crystal system = trigonal

Geometry as POSCAR:
```
CdCu2Br
1.0
1.6925 0.9772 7.5906
-1.6925 0.9772 7.5906
0.0000 -1.9543 7.5906
Cd Cu Br
1 2 1
direct
0.0000 0.0000 0.0000
0.2473 0.2473 0.2473
0.7527 0.7527 0.7527
0.5000 0.5000 0.5000
```

=====

Compound: ZrTl2
Source: Alexandria via LeMat-Bulk
Functional: PBE-GGA
Structure: relaxed

Output
space-group type = Cmcm (63)
total moment = 0.00 μB/f.u.
ΔH_f (0 K) = 0.142 eV per atom
crystal system = orthorhombic

Geometry as POSCAR:
```
ZrTl2
1.0
1.6196 -8.2723 0.0000
1.6196 8.2723 0.0000
0.0000 0.0000 5.7697
Zr Tl
2 4
direct
0.2241 0.7759 0.7500
0.7759 0.2241 0.2500
0.1160 0.8840 0.2500
0.4405 0.5595 0.2500
0.5595 0.4405 0.7500
0.8840 0.1160 0.7500
```

=====

Compound: Pm3ErSc3
Source: Alexandria via LeMat-Bulk
Functional: PBE-GGA
Structure: relaxed

Output
space-group type = R-3 (148)
total moment = 0.00 μB/f.u.
ΔH_f (0 K) = 0.182 eV per atom
E above lowest polymorph = 0.1350 eV per atom
crystal system = trigonal

Geometry as POSCAR:
```
Pm3ErSc3
1.0
4.1922 2.4204 7.0431
-4.1922 2.4204 7.0431
0.0000 -4.8408 7.0431
Pm Er Sc
6 2 6
direct
0.0651 0.5720 0.2148
0.2148 0.0651 0.5720
0.4280 0.7852 0.9349
0.5720 0.2148 0.0651
0.7852 0.9349 0.4280
0.9349 0.4280 0.7852
0.1553 0.1553 0.1553
0.8447 0.8447 0.8447
0.2235 0.6702 0.4386
0.3298 0.5614 0.7765
0.4386 0.2235 0.6702
0.5614 0.7765 0.3298
0.6702 0.4386 0.2235
0.7765 0.3298 0.5614
```

=====

Compound: LaDyMgRh
Source: Alexandria via LeMat-Bulk
Functional: PBE-GGA
Structure: relaxed

Output
space-group type = F-43m (216)
total moment = 0.00 μB/f.u.
ΔH_f (0 K) = -0.340 eV per atom
crystal system = cubic

Geometry as POSCAR:
```
LaDyMgRh
1.0
0.0000 3.6649 3.6649
3.6649 0.0000 3.6649
3.6649 3.6649 0.0000
La Dy Mg Rh
1 1 1 1
direct
0.0000 0.0000 0.0000
0.5000 0.5000 0.5000
0.7500 0.7500 0.7500
0.2500 0.2500 0.2500
```

=====

Compound: Pr7AlSn5
Source: Alexandria via LeMat-Bulk
Functional: PBE-GGA
Structure: relaxed

Output
space-group type = Imm2 (44)
total moment = 0.00 μB/f.u.
ΔH_f (0 K) = -0.437 eV per atom
crystal system = orthorhombic

Geometry as POSCAR:
```
Pr7AlSn5
1.0
-3.1881 5.8070 5.5000
3.1881 -5.8070 5.5000
3.1881 5.8070 -5.5000
Pr Al Sn
7 1 5
direct
0.0000 0.0000 0.0000
0.2927 0.6195 0.6732
0.4001 0.4001 0.0000
0.4407 0.1012 0.3394
0.7618 0.1012 0.6606
0.8418 0.3418 0.5000
0.9463 0.6195 0.3268
0.6990 0.6990 0.0000
0.1068 0.1140 0.4900
0.1068 0.6167 0.9928
0.3527 0.8527 0.5000
0.6240 0.1140 0.0072
0.6240 0.6167 0.5100
```